No. 1
Density functional theory data (GGA-PBE) for an optimized crystal structure of Rb3CeHo2S6.

Spin magnetization in μB per formula unit: 1.02
Raw formation energy in eV/atom: -1.819

a b c (Å): 7.1509 12.3859 8.0408
angles (deg): 90.00 107.25 90.00
Space group C2/m (No. 12)
One atom of each set of equivalent atoms:
1 Rb 0.0000 0.0000 0.0000
2 Rb 0.0000 0.3342 0.0000
3 Ce 0.0000 0.5000 0.5000
4 Ho 0.0000 0.1667 0.5000
5 S 0.2212 0.0000 0.6923
6 S 0.2356 0.3286 0.6925

=====

No. 2
Density functional theory data (GGA-PBE) for an optimized crystal structure of KHoHgPb.

Spin magnetization in μB per formula unit: 0.00
Calculated formation energy in meV/atom: -212

a b c (Å): 7.8349 7.8349 7.8349
angles (deg): 90.00 90.00 90.00
Space group F-43m (No. 216)
One atom of each set of equivalent atoms:
1 K 0.0000 0.0000 0.0000
2 Ho 0.0000 0.0000 0.5000
3 Hg 0.2500 0.2500 0.7500
4 Pb 0.2500 0.2500 0.2500

=====

No. 3
Density functional theory data (GGA-PBE) for an optimized crystal structure of NpUGe2.

Spin magnetization in μB per formula unit: 5.02
Offset from the most stable computed form in eV per atom: 0.311
Calculated formation energy in meV/atom: 64

a b c (Å): 4.1981 4.1981 19.2552
angles (deg): 90.00 90.00 120.00
Space group R-3m (No. 166, hexagonal axes)
One atom of each set of equivalent atoms:
1 Np 0.0000 0.0000 0.0000
2 U 0.0000 0.0000 0.5000
3 Ge 0.0000 0.0000 0.2475